# 1
Density functional theory data (PBE-GGA) for crystalline Nd5PtSe5 at its relaxed geometry.

CIF file:
```
data_Nd5PtSe5
_cell_length_a 13.444
_cell_length_b 6.012
_cell_length_c 8.490
_cell_angle_alpha 90.00
_cell_angle_beta 108.17
_cell_angle_gamma 90.00
_symmetry_space_group_name_H-M 'C 1 2/m 1'
_symmetry_Int_Tables_number 12
_symmetry_space_group_name_Hall '-C 2y'
loop_
_atom_site_label
_atom_site_type_symbol
_atom_site_fract_x
_atom_site_fract_y
_atom_site_fract_z
Nd1 Nd 0.000 0.000 0.000
Nd2 Nd 0.154 0.500 0.832
Nd3 Nd 0.163 0.500 0.334
Pt1 Pt 0.000 0.500 0.000
Se1 Se 0.000 0.500 0.500
Se2 Se 0.172 0.000 0.841
Se3 Se 0.178 0.000 0.331
```

Output
The calculation puts the uncorrected formation energy at -1.697 eV per atom. Its total energy is -0.220 hartree per atom. Its crystal system is monoclinic.



# 2
Density functional theory data (PBE-GGA) for crystalline Tb4Y3Se8 at its relaxed geometry.

CIF file:
```
data_Tb4Y3Se8
_cell_length_a 11.530
_cell_length_b 11.531
_cell_length_c 8.153
_cell_angle_alpha 90.00
_cell_angle_beta 134.99
_cell_angle_gamma 90.00
_symmetry_space_group_name_H-M 'C 1 2/m 1'
_symmetry_Int_Tables_number 12
_symmetry_space_group_name_Hall '-C 2y'
loop_
_atom_site_label
_atom_site_type_symbol
_atom_site_fract_x
_atom_site_fract_y
_atom_site_fract_z
Tb1 Tb 0.000 0.000 0.000
Tb2 Tb 0.000 0.500 0.500
Tb3 Tb 0.250 0.250 0.000
Y1 Y 0.000 0.500 0.000
Y2 Y 0.250 0.250 0.500
Se1 Se 0.000 0.246 0.500
Se2 Se 0.000 0.250 0.000
Se3 Se 0.247 0.000 0.500
Se4 Se 0.247 0.000 0.993
```

Output
The calculation puts the uncorrected formation energy at -1.847 eV per atom. Its total energy is -0.229 hartree per atom. Its crystal system is monoclinic.



# 3
Density functional theory data (PBE-GGA) for crystalline Na3Pr2NdTe6 at its relaxed geometry.

CIF file:
```
data_Na3Pr2NdTe6
_cell_length_a 7.914
_cell_length_b 13.708
_cell_length_c 8.021
_cell_angle_alpha 90.00
_cell_angle_beta 109.21
_cell_angle_gamma 90.00
_symmetry_space_group_name_H-M 'C 1 2/m 1'
_symmetry_Int_Tables_number 12
_symmetry_space_group_name_Hall '-C 2y'
loop_
_atom_site_label
_atom_site_type_symbol
_atom_site_fract_x
_atom_site_fract_y
_atom_site_fract_z
Na1 Na 0.000 0.000 0.000
Na2 Na 0.000 0.333 0.000
Pr1 Pr 0.000 0.167 0.500
Nd1 Nd 0.000 0.500 0.500
Te1 Te 0.246 0.334 0.740
Te2 Te 0.249 0.000 0.740
```

Output
The calculation puts the uncorrected formation energy at -1.330 eV per atom. Its total energy is -0.163 hartree per atom. Its crystal system is monoclinic.



# 4
Density functional theory data (PBE-GGA) for crystalline GeMoOs at its relaxed geometry.

CIF file:
```
data_GeMoOs
_cell_length_a 4.2714
_cell_length_b 4.2714
_cell_length_c 2.8578
_cell_angle_alpha 90.00
_cell_angle_beta 90.00
_cell_angle_gamma 120.00
_symmetry_space_group_name_H-M 'P -6 m 2'
_symmetry_Int_Tables_number 187
_symmetry_space_group_name_Hall 'P -6 2'
loop_
_atom_site_label
_atom_site_type_symbol
_atom_site_fract_x
_atom_site_fract_y
_atom_site_fract_z
Ge1 Ge 0.0000 0.0000 0.0000
Mo1 Mo 0.3333 0.6667 0.5000
Os1 Os 0.6667 0.3333 0.0000
```

Output
Its total energy is -0.328 hartree per atom. Its crystal system is hexagonal.



# 5
Density functional theory data (PBE-GGA) for crystalline TbGa5 at its relaxed geometry.

CIF file:
```
data_TbGa5
_cell_length_a 5.6769
_cell_length_b 5.6769
_cell_length_c 4.2959
_cell_angle_alpha 90.00
_cell_angle_beta 90.00
_cell_angle_gamma 120.00
_symmetry_space_group_name_H-M 'P -6 2 m'
_symmetry_Int_Tables_number 189
_symmetry_space_group_name_Hall 'P -6 -2'
loop_
_atom_site_label
_atom_site_type_symbol
_atom_site_fract_x
_atom_site_fract_y
_atom_site_fract_z
Tb1 Tb 0.0000 0.0000 0.0000
Ga1 Ga 0.0000 0.6021 0.5000
Ga2 Ga 0.3333 0.6667 0.0000
```

Output
The energy relative to the lowest polymorph listed for this composition is 142 meV per atom. Its total energy is -0.128 hartree per atom. Its crystal system is hexagonal.



# 6
Density functional theory data (PBE-GGA) for crystalline HfZr2ReTc at its relaxed geometry.

CIF file:
```
data_HfZr2ReTc
_cell_length_a 4.875
_cell_length_b 4.875
_cell_length_c 4.866
_cell_angle_alpha 90.00
_cell_angle_beta 90.00
_cell_angle_gamma 90.00
_symmetry_space_group_name_H-M 'P 4/m m m'
_symmetry_Int_Tables_number 123
_symmetry_space_group_name_Hall '-P 4 2'
loop_
_atom_site_label
_atom_site_type_symbol
_atom_site_fract_x
_atom_site_fract_y
_atom_site_fract_z
Hf1 Hf 0.000 0.000 0.000
Zr1 Zr 0.000 0.500 0.500
Re1 Re 0.500 0.500 0.000
Tc1 Tc 0.000 0.000 0.500
```

Output
Its total energy is -0.328 hartree per atom. Its crystal system is tetragonal.



# 7
Density functional theory data (PBE-GGA) for crystalline Rh3BrCl at its relaxed geometry.

CIF file:
```
data_Rh3BrCl
_cell_length_a 4.528
_cell_length_b 4.528
_cell_length_c 4.528
_cell_angle_alpha 90.00
_cell_angle_beta 90.00
_cell_angle_gamma 90.00
_symmetry_space_group_name_H-M 'P m -3 m'
_symmetry_Int_Tables_number 221
_symmetry_space_group_name_Hall '-P 4 2 3'
loop_
_atom_site_label
_atom_site_type_symbol
_atom_site_fract_x
_atom_site_fract_y
_atom_site_fract_z
Rh1 Rh 0.000 0.000 0.500
Br1 Br 0.500 0.500 0.500
Cl1 Cl 0.000 0.000 0.000
```

Output
The energy relative to the lowest polymorph listed for this composition is 0 meV per atom. The calculation puts the uncorrected formation energy at 0.948 eV per atom. Its total energy is -0.153 hartree per atom. Its crystal system is cubic.



# 8
Density functional theory data (PBE-GGA) for crystalline AlZn4Au at its relaxed geometry.

CIF file:
```
data_AlZn4Au
_cell_length_a 7.247
_cell_length_b 7.247
_cell_length_c 7.247
_cell_angle_alpha 90.00
_cell_angle_beta 90.00
_cell_angle_gamma 90.00
_symmetry_space_group_name_H-M 'F -4 3 m'
_symmetry_Int_Tables_number 216
_symmetry_space_group_name_Hall 'F -4 2 3'
loop_
_atom_site_label
_atom_site_type_symbol
_atom_site_fract_x
_atom_site_fract_y
_atom_site_fract_z
Al1 Al 0.000 0.000 0.000
Zn1 Zn 0.125 0.125 0.375
Au1 Au 0.250 0.250 0.750
```

Output
Its total energy is -0.074 hartree per atom. Its crystal system is cubic.



# 9
Density functional theory data (PBE-GGA) for crystalline BeRe2Au at its relaxed geometry.

CIF file:
```
data_BeRe2Au
_cell_length_a 2.8031
_cell_length_b 2.8031
_cell_length_c 25.4682
_cell_angle_alpha 90.00
_cell_angle_beta 90.00
_cell_angle_gamma 120.00
_symmetry_space_group_name_H-M 'R 3 m'
_symmetry_Int_Tables_number 160
_symmetry_space_group_name_Hall 'R 3 -2"'
loop_
_atom_site_label
_atom_site_type_symbol
_atom_site_fract_x
_atom_site_fract_y
_atom_site_fract_z
Be1 Be 0.0000 0.0000 0.0000
Re1 Re 0.0000 0.0000 0.4922
Re2 Re 0.0000 0.0000 0.7436
Au1 Au 0.0000 0.0000 0.2584
```

Output
Its total energy is -0.288 hartree per atom. Its crystal system is trigonal.



# 10
Density functional theory data (PBE-GGA) for crystalline Tb2Nd7Sm3 at its relaxed geometry.

CIF file:
```
data_Tb2Nd7Sm3
_cell_length_a 5.961
_cell_length_b 3.634
_cell_length_c 19.236
_cell_angle_alpha 90.00
_cell_angle_beta 93.32
_cell_angle_gamma 90.00
_symmetry_space_group_name_H-M 'P 1 2/m 1'
_symmetry_Int_Tables_number 10
_symmetry_space_group_name_Hall '-P 2y'
loop_
_atom_site_label
_atom_site_type_symbol
_atom_site_fract_x
_atom_site_fract_y
_atom_site_fract_z
Tb1 Tb 0.207 0.000 0.296
Nd1 Nd 0.181 0.500 0.145
Nd2 Nd 0.243 0.000 0.465
Nd3 Nd 0.317 0.000 0.818
Nd4 Nd 0.500 0.500 0.000
Sm1 Sm 0.000 0.000 0.000
Sm2 Sm 0.283 0.500 0.633
```

Output
The energy relative to the lowest polymorph listed for this composition is 16 meV per atom. Its total energy is -0.171 hartree per atom. Its crystal system is monoclinic.



# 11
Density functional theory data (PBE-GGA) for crystalline Rb3U3RuS8 at its relaxed geometry.

CIF file:
```
data_Rb3U3RuS8
_cell_length_a 7.6590
_cell_length_b 7.6590
_cell_length_c 24.0919
_cell_angle_alpha 90.00
_cell_angle_beta 90.00
_cell_angle_gamma 120.00
_symmetry_space_group_name_H-M 'R -3 m'
_symmetry_Int_Tables_number 166
_symmetry_space_group_name_Hall '-R 3 2"'
loop_
_atom_site_label
_atom_site_type_symbol
_atom_site_fract_x
_atom_site_fract_y
_atom_site_fract_z
Rb1 Rb 0.0000 0.5000 0.0000
U1 U 0.0000 0.5000 0.5000
Ru1 Ru 0.0000 0.0000 0.5000
S1 S 0.0000 0.0000 0.2332
S2 S 0.0220 0.5110 0.2274
```

Output
The calculation puts the uncorrected formation energy at -1.193 eV per atom. Its total energy is -0.238 hartree per atom. Its crystal system is trigonal.



# 12
Density functional theory data (PBE-GGA) for crystalline SrTiIr3 at its relaxed geometry.

CIF file:
```
data_SrTiIr3
_cell_length_a 4.853
_cell_length_b 4.853
_cell_length_c 4.853
_cell_angle_alpha 90.00
_cell_angle_beta 90.00
_cell_angle_gamma 90.00
_symmetry_space_group_name_H-M 'P m -3 m'
_symmetry_Int_Tables_number 221
_symmetry_space_group_name_Hall '-P 4 2 3'
loop_
_atom_site_label
_atom_site_type_symbol
_atom_site_fract_x
_atom_site_fract_y
_atom_site_fract_z
Sr1 Sr 0.000 0.000 0.000
Ti1 Ti 0.500 0.500 0.500
Ir1 Ir 0.000 0.000 0.500
```

Output
The energy relative to the lowest polymorph listed for this composition is 2132 meV per atom. Its total energy is -0.175 hartree per atom. Its crystal system is cubic.



# 13
Density functional theory data (PBE-GGA) for crystalline Li2ZrP2 at its relaxed geometry.

CIF file:
```
data_Li2ZrP2
_cell_length_a 3.652
_cell_length_b 3.652
_cell_length_c 11.120
_cell_angle_alpha 90.00
_cell_angle_beta 90.00
_cell_angle_gamma 90.00
_symmetry_space_group_name_H-M 'I 4/m m m'
_symmetry_Int_Tables_number 139
_symmetry_space_group_name_Hall '-I 4 2'
loop_
_atom_site_label
_atom_site_type_symbol
_atom_site_fract_x
_atom_site_fract_y
_atom_site_fract_z
Li1 Li 0.000 0.500 0.250
Zr1 Zr 0.000 0.000 0.000
P1 P 0.000 0.000 0.397
```

Output
Its total energy is -0.197 hartree per atom. Its crystal system is tetragonal.



# 14
Density functional theory data (PBE-GGA) for crystalline LaTbYHo3 at its relaxed geometry.

CIF file:
```
data_LaTbYHo3
_cell_length_a 5.801
_cell_length_b 11.692
_cell_length_c 11.551
_cell_angle_alpha 90.00
_cell_angle_beta 90.00
_cell_angle_gamma 90.00
_symmetry_space_group_name_H-M 'C m c m'
_symmetry_Int_Tables_number 63
_symmetry_space_group_name_Hall '-C 2c 2'
loop_
_atom_site_label
_atom_site_type_symbol
_atom_site_fract_x
_atom_site_fract_y
_atom_site_fract_z
La1 La 0.000 0.025 0.250
Tb1 Tb 0.000 0.500 0.000
Y1 Y 0.000 0.328 0.250
Ho1 Ho 0.000 0.176 0.521
Ho2 Ho 0.000 0.349 0.750
```

Output
Its total energy is -0.178 hartree per atom. Its crystal system is orthorhombic.



# 15
Density functional theory data (PBE-GGA) for crystalline ZnSbTe2 at its relaxed geometry.

CIF file:
```
data_ZnSbTe2
_cell_length_a 4.347
_cell_length_b 4.365
_cell_length_c 12.035
_cell_angle_alpha 90.00
_cell_angle_beta 90.00
_cell_angle_gamma 90.00
_symmetry_space_group_name_H-M 'I m m m'
_symmetry_Int_Tables_number 71
_symmetry_space_group_name_Hall '-I 2 2'
loop_
_atom_site_label
_atom_site_type_symbol
_atom_site_fract_x
_atom_site_fract_y
_atom_site_fract_z
Zn1 Zn 0.000 0.000 0.000
Sb1 Sb 0.000 0.000 0.500
Te1 Te 0.000 0.000 0.248
```

Output
The energy relative to the lowest polymorph listed for this composition is 183 meV per atom. The calculation puts the uncorrected formation energy at 0.086 eV per atom. Its total energy is -0.104 hartree per atom. Its crystal system is orthorhombic.



# 16
Density functional theory data (PBE-GGA) for crystalline ThAgP2S8 at its relaxed geometry.

CIF file:
```
data_ThAgP2S8
_cell_length_a 6.3081
_cell_length_b 6.3081
_cell_length_c 9.0403
_cell_angle_alpha 90.00
_cell_angle_beta 90.00
_cell_angle_gamma 120.00
_symmetry_space_group_name_H-M 'P -3 m 1'
_symmetry_Int_Tables_number 164
_symmetry_space_group_name_Hall '-P 3 2"'
loop_
_atom_site_label
_atom_site_type_symbol
_atom_site_fract_x
_atom_site_fract_y
_atom_site_fract_z
Th1 Th 0.0000 0.0000 0.0000
Ag1 Ag 0.0000 0.0000 0.5000
P1 P 0.3333 0.6667 0.1816
S1 S 0.1578 0.3155 0.2618
S2 S 0.3333 0.6667 0.9596
```

Output
The calculation puts the uncorrected formation energy at -0.446 eV per atom. Its total energy is -0.182 hartree per atom. Its crystal system is trigonal.



# 17
Density functional theory data (PBE-GGA) for crystalline Ga3Hg3Br at its relaxed geometry.

CIF file:
```
data_Ga3Hg3Br
_cell_length_a 7.695
_cell_length_b 7.695
_cell_length_c 7.695
_cell_angle_alpha 90.00
_cell_angle_beta 90.00
_cell_angle_gamma 90.00
_symmetry_space_group_name_H-M 'P m -3 n'
_symmetry_Int_Tables_number 223
_symmetry_space_group_name_Hall '-P 4n 2 3'
loop_
_atom_site_label
_atom_site_type_symbol
_atom_site_fract_x
_atom_site_fract_y
_atom_site_fract_z
Ga1 Ga 0.000 0.250 0.500
Hg1 Hg 0.000 0.500 0.250
Br1 Br 0.000 0.000 0.000
```

Output
The calculation puts the uncorrected formation energy at 0.177 eV per atom. Its total energy is -0.055 hartree per atom. Its crystal system is cubic.



# 18
Density functional theory data (PBE-GGA) for crystalline KMnGeTe2 at its relaxed geometry.

CIF file:
```
data_KMnGeTe2
_cell_length_a 6.005
_cell_length_b 6.005
_cell_length_c 5.383
_cell_angle_alpha 90.00
_cell_angle_beta 90.00
_cell_angle_gamma 90.00
_symmetry_space_group_name_H-M 'P 4/m m m'
_symmetry_Int_Tables_number 123
_symmetry_space_group_name_Hall '-P 4 2'
loop_
_atom_site_label
_atom_site_type_symbol
_atom_site_fract_x
_atom_site_fract_y
_atom_site_fract_z
K1 K 0.000 0.000 0.000
Mn1 Mn 0.500 0.500 0.500
Ge1 Ge 0.000 0.000 0.500
Te1 Te 0.000 0.500 0.000
```

Output
The calculation puts the uncorrected formation energy at 1.267 eV per atom. Its total energy is -0.109 hartree per atom. Its crystal system is tetragonal.



# 19
Density functional theory data (PBE-GGA) for crystalline Np4Ga6Ir7 at its relaxed geometry.

CIF file:
```
data_Np4Ga6Ir7
_cell_length_a 8.414
_cell_length_b 8.414
_cell_length_c 8.414
_cell_angle_alpha 90.00
_cell_angle_beta 90.00
_cell_angle_gamma 90.00
_symmetry_space_group_name_H-M 'I m -3 m'
_symmetry_Int_Tables_number 229
_symmetry_space_group_name_Hall '-I 4 2 3'
loop_
_atom_site_label
_atom_site_type_symbol
_atom_site_fract_x
_atom_site_fract_y
_atom_site_fract_z
Np1 Np 0.250 0.250 0.250
Ga1 Ga 0.000 0.000 0.309
Ir1 Ir 0.000 0.000 0.000
Ir2 Ir 0.000 0.250 0.500
```

Output
Its total energy is -0.302 hartree per atom. Its crystal system is cubic.



# 20
Density functional theory data (PBE-GGA) for crystalline NaTl2In at its relaxed geometry.

CIF file:
```
data_NaTl2In
_cell_length_a 4.892
_cell_length_b 4.892
_cell_length_c 4.702
_cell_angle_alpha 90.00
_cell_angle_beta 90.00
_cell_angle_gamma 90.00
_symmetry_space_group_name_H-M 'P 4/m m m'
_symmetry_Int_Tables_number 123
_symmetry_space_group_name_Hall '-P 4 2'
loop_
_atom_site_label
_atom_site_type_symbol
_atom_site_fract_x
_atom_site_fract_y
_atom_site_fract_z
Na1 Na 0.000 0.000 0.000
Tl1 Tl 0.000 0.500 0.500
In1 In 0.500 0.500 0.000
```

Output
Its total energy is -0.083 hartree per atom. Its crystal system is tetragonal.